[1]
{
  "formula": "RbBe2SiTe",
  "functional": "PBE",
  "state": "relaxed",
  "e_form_raw_ev_per_atom": 2.176,
  "cell": [[5.401, 0.000, 0.000], [0.000, 5.401, 0.000], [0.000, 0.000, 5.939]],
  "species": ["Rb", "Be", "Be", "Si", "Te"],
  "frac_coords": [[0.000, 0.000, 0.000], [0.000, 0.500, 0.000], [0.500, 0.000, 0.000], [0.000, 0.000, 0.500], [0.500, 0.500, 0.500]]
}


[2]
{
  "formula": "Rb2BeSn2",
  "functional": "PBE",
  "state": "relaxed",
  "polymorph_energy_mev_per_atom": 96,
  "cell": [[10.952, 0.000, 0.000], [0.000, 10.952, 0.000], [0.000, 0.000, 3.464]],
  "species": ["Rb", "Rb", "Rb", "Rb", "Be", "Be", "Sn", "Sn", "Sn", "Sn"],
  "frac_coords": [[0.204, 0.296, 0.000], [0.296, 0.796, 0.000], [0.704, 0.204, 0.000], [0.796, 0.704, 0.000], [0.000, 0.000, 0.000], [0.500, 0.500, 0.000], [0.090, 0.590, 0.500], [0.410, 0.090, 0.500], [0.590, 0.910, 0.500], [0.910, 0.410, 0.500]]
}


[3]
{
  "formula": "Rb2BeSn2",
  "functional": "PBE",
  "state": "relaxed",
  "polymorph_energy_mev_per_atom": 0,
  "cell": [[-2.129, 2.129, 11.267], [2.129, -2.129, 11.267], [2.129, 2.129, -11.267]],
  "species": ["Rb", "Rb", "Be", "Sn", "Sn"],
  "frac_coords": [[0.099, 0.099, 0.000], [0.901, 0.901, 0.000], [0.500, 0.500, 0.000], [0.250, 0.750, 0.500], [0.750, 0.250, 0.500]]
}


[4]
{
  "formula": "RbBe2Sn",
  "functional": "PBE",
  "state": "relaxed",
  "cell": [[-2.675, 2.675, 7.939], [2.675, -2.675, 7.939], [2.675, 2.675, -7.939]],
  "species": ["Rb", "Rb", "Be", "Be", "Be", "Be", "Sn", "Sn"],
  "frac_coords": [[0.375, 0.625, 0.750], [0.625, 0.375, 0.250], [0.000, 0.000, 0.000], [0.000, 0.000, 0.500], [0.000, 0.500, 0.000], [0.500, 0.000, 0.500], [0.125, 0.875, 0.250], [0.875, 0.125, 0.750]]
}


[5]
{
  "formula": "RbBe3Sn",
  "functional": "PBE",
  "state": "relaxed",
  "polymorph_energy_mev_per_atom": 0,
  "cell": [[4.982, 0.000, 0.000], [0.000, 4.982, 0.000], [0.000, 0.000, 4.982]],
  "species": ["Rb", "Be", "Be", "Be", "Sn"],
  "frac_coords": [[0.000, 0.000, 0.000], [0.000, 0.500, 0.500], [0.500, 0.000, 0.500], [0.500, 0.500, 0.000], [0.500, 0.500, 0.500]]
}


[6]
{
  "formula": "RbBe3Sn",
  "functional": "PBE",
  "state": "relaxed",
  "polymorph_energy_mev_per_atom": 1183,
  "cell": [[5.278, 0.000, 0.000], [0.000, 5.278, 0.000], [0.000, 0.000, 5.278]],
  "species": ["Rb", "Be", "Be", "Be", "Sn"],
  "frac_coords": [[0.000, 0.000, 0.000], [0.000, 0.000, 0.500], [0.000, 0.500, 0.000], [0.500, 0.000, 0.000], [0.500, 0.500, 0.500]]
}


[7]
{
  "formula": "Rb3SrBe",
  "functional": "PBE",
  "state": "relaxed",
  "polymorph_energy_mev_per_atom": 0,
  "cell": [[6.910, 0.000, 0.000], [0.000, 6.910, 0.000], [0.000, 0.000, 6.910]],
  "species": ["Rb", "Rb", "Rb", "Sr", "Be"],
  "frac_coords": [[0.000, 0.000, 0.500], [0.000, 0.500, 0.000], [0.500, 0.000, 0.000], [0.500, 0.500, 0.500], [0.000, 0.000, 0.000]]
}


[8]
{
  "formula": "Rb3SrBe",
  "functional": "PBE",
  "state": "relaxed",
  "polymorph_energy_mev_per_atom": 433,
  "cell": [[8.441, 0.000, 0.000], [0.000, 8.441, 0.000], [0.000, 0.000, 8.441]],
  "species": ["Rb", "Rb", "Rb", "Sr", "Be"],
  "frac_coords": [[0.000, 0.000, 0.500], [0.000, 0.500, 0.000], [0.500, 0.000, 0.000], [0.000, 0.000, 0.000], [0.500, 0.500, 0.500]]
}


[9]
{
  "formula": "Rb4SrBe2",
  "functional": "PBE",
  "state": "relaxed",
  "cell": [[-3.765, 3.765, 8.795], [3.765, -3.765, 8.795], [3.765, 3.765, -8.795]],
  "species": ["Rb", "Rb", "Rb", "Rb", "Sr", "Be", "Be"],
  "frac_coords": [[0.000, 0.500, 0.500], [0.248, 0.248, 0.000], [0.500, 0.000, 0.500], [0.752, 0.752, 0.000], [0.500, 0.500, 0.000], [0.059, 0.059, 0.000], [0.941, 0.941, 0.000]]
}


[10]
{
  "formula": "RbSrBe3",
  "functional": "PBE",
  "state": "relaxed",
  "polymorph_energy_mev_per_atom": 0,
  "cell": [[5.893, 0.000, 0.000], [0.000, 5.893, 0.000], [0.000, 0.000, 5.893]],
  "species": ["Rb", "Sr", "Be", "Be", "Be"],
  "frac_coords": [[0.000, 0.000, 0.000], [0.500, 0.500, 0.500], [0.000, 0.500, 0.500], [0.500, 0.000, 0.500], [0.500, 0.500, 0.000]]
}


[11]
{
  "formula": "RbSrBe3",
  "functional": "PBE",
  "state": "relaxed",
  "polymorph_energy_mev_per_atom": 169,
  "cell": [[5.476, 0.000, 0.000], [0.000, 5.476, 0.000], [0.000, 0.000, 5.476]],
  "species": ["Rb", "Sr", "Be", "Be", "Be"],
  "frac_coords": [[0.000, 0.000, 0.000], [0.500, 0.500, 0.500], [0.000, 0.000, 0.500], [0.000, 0.500, 0.000], [0.500, 0.000, 0.000]]
}


[12]
{
  "formula": "RbSrBeZn2",
  "functional": "PBE",
  "state": "relaxed",
  "cell": [[6.101, 0.000, 0.000], [0.000, 6.101, 0.000], [0.000, 0.000, 7.805]],
  "species": ["Rb", "Sr", "Be", "Zn", "Zn"],
  "frac_coords": [[0.000, 0.000, 0.000], [0.000, 0.000, 0.500], [0.500, 0.500, 0.500], [0.000, 0.500, 0.000], [0.500, 0.000, 0.000]]
}


[13]
{
  "formula": "RbTaBe2",
  "functional": "PBE",
  "state": "relaxed",
  "polymorph_energy_mev_per_atom": 0,
  "cell": [[-3.700, 3.700, 3.605], [3.700, -3.700, 3.605], [3.700, 3.700, -3.605]],
  "species": ["Rb", "Rb", "Ta", "Ta", "Be", "Be", "Be", "Be"],
  "frac_coords": [[0.000, 0.000, 0.000], [0.750, 0.250, 0.500], [0.250, 0.750, 0.500], [0.500, 0.500, 0.000], [0.207, 0.625, 0.082], [0.375, 0.457, 0.582], [0.543, 0.125, 0.918], [0.875, 0.793, 0.418]]
}


[14]
{
  "formula": "RbTa3Be",
  "functional": "PBE",
  "state": "relaxed",
  "polymorph_energy_mev_per_atom": 1794,
  "cell": [[4.755, 0.000, 0.000], [0.000, 4.755, 0.000], [0.000, 0.000, 4.755]],
  "species": ["Rb", "Ta", "Ta", "Ta", "Be"],
  "frac_coords": [[0.000, 0.000, 0.000], [0.000, 0.000, 0.500], [0.000, 0.500, 0.000], [0.500, 0.000, 0.000], [0.500, 0.500, 0.500]]
}


[15]
{
  "formula": "RbTa3Be",
  "functional": "PBE",
  "state": "relaxed",
  "polymorph_energy_mev_per_atom": 0,
  "cell": [[4.698, 0.000, 0.000], [0.000, 4.698, 0.000], [0.000, 0.000, 4.698]],
  "species": ["Rb", "Ta", "Ta", "Ta", "Be"],
  "frac_coords": [[0.000, 0.000, 0.000], [0.000, 0.500, 0.500], [0.500, 0.000, 0.500], [0.500, 0.500, 0.000], [0.500, 0.500, 0.500]]
}


[16]
{
  "formula": "Rb2TaBe",
  "functional": "PBE",
  "state": "relaxed",
  "cell": [[-6.549, 6.549, 2.380], [6.549, -6.549, 2.380], [6.549, 6.549, -2.380]],
  "species": ["Rb", "Rb", "Rb", "Rb", "Ta", "Ta", "Be", "Be"],
  "frac_coords": [[0.375, 0.191, 0.316], [0.809, 0.125, 0.184], [0.875, 0.059, 0.684], [0.941, 0.625, 0.816], [0.250, 0.750, 0.500], [0.500, 0.500, 0.000], [0.000, 0.000, 0.000], [0.750, 0.250, 0.500]]
}


[17]
{
  "formula": "Rb3TaBe",
  "functional": "PBE",
  "state": "relaxed",
  "polymorph_energy_mev_per_atom": 0,
  "cell": [[6.456, 0.000, 0.000], [0.000, 6.456, 0.000], [0.000, 0.000, 6.456]],
  "species": ["Rb", "Rb", "Rb", "Ta", "Be"],
  "frac_coords": [[0.000, 0.000, 0.500], [0.000, 0.500, 0.000], [0.500, 0.000, 0.000], [0.500, 0.500, 0.500], [0.000, 0.000, 0.000]]
}


[18]
{
  "formula": "RbTaBe2",
  "functional": "PBE",
  "state": "relaxed",
  "polymorph_energy_mev_per_atom": 63,
  "cell": [[0.000, 3.354, 3.354], [3.354, 0.000, 3.354], [3.354, 3.354, 0.000]],
  "species": ["Rb", "Ta", "Be", "Be"],
  "frac_coords": [[0.000, 0.000, 0.000], [0.500, 0.500, 0.500], [0.250, 0.250, 0.250], [0.750, 0.750, 0.750]]
}


[19]
{
  "formula": "Rb2TaBeV",
  "functional": "PBE",
  "state": "relaxed",
  "cell": [[6.655, 0.000, 0.000], [0.000, 6.655, 0.000], [0.000, 0.000, 4.564]],
  "species": ["Rb", "Rb", "Ta", "Be", "V"],
  "frac_coords": [[0.000, 0.500, 0.000], [0.500, 0.000, 0.000], [0.000, 0.000, 0.500], [0.500, 0.500, 0.500], [0.000, 0.000, 0.000]]
}


[20]
{
  "formula": "Rb2TaBeZn",
  "functional": "PBE",
  "state": "relaxed",
  "cell": [[6.730, 0.000, 0.000], [0.000, 6.730, 0.000], [0.000, 0.000, 4.278]],
  "species": ["Rb", "Rb", "Ta", "Be", "Zn"],
  "frac_coords": [[0.000, 0.500, 0.000], [0.500, 0.000, 0.000], [0.000, 0.000, 0.500], [0.500, 0.500, 0.500], [0.500, 0.500, 0.000]]
}


[21]
{
  "formula": "RbBeTc3",
  "functional": "PBE",
  "state": "relaxed",
  "polymorph_energy_mev_per_atom": 0,
  "cell": [[4.443, 0.000, 0.000], [0.000, 4.443, 0.000], [0.000, 0.000, 4.443]],
  "species": ["Rb", "Be", "Tc", "Tc", "Tc"],
  "frac_coords": [[0.000, 0.000, 0.000], [0.500, 0.500, 0.500], [0.000, 0.500, 0.500], [0.500, 0.000, 0.500], [0.500, 0.500, 0.000]]
}


[22]
{
  "formula": "RbBeTc3",
  "functional": "PBE",
  "state": "relaxed",
  "polymorph_energy_mev_per_atom": 1826,
  "cell": [[4.653, 0.000, 0.000], [0.000, 4.653, 0.000], [0.000, 0.000, 4.653]],
  "species": ["Rb", "Be", "Tc", "Tc", "Tc"],
  "frac_coords": [[0.000, 0.000, 0.000], [0.500, 0.500, 0.500], [0.000, 0.000, 0.500], [0.000, 0.500, 0.000], [0.500, 0.000, 0.000]]
}


[23]
{
  "formula": "RbBeTe3",
  "functional": "PBE",
  "state": "relaxed",
  "polymorph_energy_mev_per_atom": 0,
  "e_form_raw_ev_per_atom": -0.078,
  "cell": [[5.282, 0.000, 0.000], [0.000, 5.282, 0.000], [0.000, 0.000, 5.282]],
  "species": ["Rb", "Be", "Te", "Te", "Te"],
  "frac_coords": [[0.000, 0.000, 0.000], [0.500, 0.500, 0.500], [0.000, 0.500, 0.500], [0.500, 0.000, 0.500], [0.500, 0.500, 0.000]]
}


[24]
{
  "formula": "RbBe3Te",
  "functional": "PBE",
  "state": "relaxed",
  "polymorph_energy_mev_per_atom": 0,
  "e_form_raw_ev_per_atom": 1.212,
  "cell": [[5.131, 0.000, 0.000], [0.000, 5.131, 0.000], [0.000, 0.000, 5.131]],
  "species": ["Rb", "Be", "Be", "Be", "Te"],
  "frac_coords": [[0.000, 0.000, 0.000], [0.000, 0.500, 0.500], [0.500, 0.000, 0.500], [0.500, 0.500, 0.000], [0.500, 0.500, 0.500]]
}


[25]
{
  "formula": "Rb3Be2Te4",
  "functional": "PBE",
  "state": "relaxed",
  "e_form_raw_ev_per_atom": -0.648,
  "cell": [[8.827, -5.829, 0.000], [8.827, 5.829, 0.000], [-0.482, 0.000, 6.915]],
  "species": ["Rb", "Rb", "Rb", "Rb", "Rb", "Rb", "Be", "Be", "Be", "Be", "Te", "Te", "Te", "Te", "Te", "Te", "Te", "Te"],
  "frac_coords": [[0.141, 0.859, 0.750], [0.207, 0.462, 0.456], [0.462, 0.207, 0.956], [0.538, 0.793, 0.044], [0.793, 0.538, 0.544], [0.859, 0.141, 0.250], [0.081, 0.349, 0.964], [0.349, 0.081, 0.464], [0.651, 0.919, 0.536], [0.919, 0.651, 0.036], [0.132, 0.190, 0.643], [0.164, 0.536, 0.969], [0.190, 0.132, 0.143], [0.464, 0.836, 0.531], [0.536, 0.164, 0.469], [0.810, 0.868, 0.857], [0.836, 0.464, 0.031], [0.868, 0.810, 0.357]]
}


[26]
{
  "formula": "Rb3BeTe",
  "functional": "PBE",
  "state": "relaxed",
  "polymorph_energy_mev_per_atom": 0,
  "e_form_raw_ev_per_atom": 0.128,
  "cell": [[7.004, 0.000, 0.000], [0.000, 7.004, 0.000], [0.000, 0.000, 7.004]],
  "species": ["Rb", "Rb", "Rb", "Be", "Te"],
  "frac_coords": [[0.000, 0.000, 0.500], [0.000, 0.500, 0.000], [0.500, 0.000, 0.000], [0.500, 0.500, 0.500], [0.000, 0.000, 0.000]]
}


[27]
{
  "formula": "Rb2BeTe",
  "functional": "PBE",
  "state": "relaxed",
  "polymorph_energy_mev_per_atom": 0,
  "e_form_raw_ev_per_atom": 0.056,
  "cell": [[0.000, 4.300, 4.300], [4.300, 0.000, 4.300], [4.300, 4.300, 0.000]],
  "species": ["Rb", "Rb", "Be", "Te"],
  "frac_coords": [[0.250, 0.250, 0.250], [0.750, 0.750, 0.750], [0.000, 0.000, 0.000], [0.500, 0.500, 0.500]]
}


Number 1: DOS at the Fermi energy 0.601 states/eV/atom, VASP energy -0.0449 hartree per atom. Number 2: DOS at the Fermi energy 0.540 states/eV/atom, VASP energy -0.0782 hartree per atom. Number 3: DOS at the Fermi energy 0.821 states/eV/atom, VASP energy -0.0817 hartree per atom. Number 4: DOS at the Fermi energy 0.686 states/eV/atom, VASP energy -0.0934 hartree per atom. Number 5: DOS at the Fermi energy 0.732 states/eV/atom, VASP energy -0.0784 hartree per atom. Number 6: DOS at the Fermi energy 0.727 states/eV/atom, VASP energy -0.0349 hartree per atom. Number 7: DOS at the Fermi energy 0.789 states/eV/atom, VASP energy -0.0383 hartree per atom. Number 8: DOS at the Fermi energy 1.066 states/eV/atom, VASP energy -0.0224 hartree per atom. Number 9: DOS at the Fermi energy 1.260 states/eV/atom, VASP energy -0.0355 hartree per atom. Number 10: DOS at the Fermi energy 0.960 states/eV/atom, VASP energy -0.0428 hartree per atom. Number 11: DOS at the Fermi energy 0.673 states/eV/atom, VASP energy -0.0366 hartree per atom. Number 12: DOS at the Fermi energy 1.262 states/eV/atom, VASP energy -0.0166 hartree per atom. Number 13: DOS at the Fermi energy 0.459 states/eV/atom, VASP energy -0.1266 hartree per atom. Number 14: DOS at the Fermi energy 0.513 states/eV/atom, VASP energy -0.1697 hartree per atom. Number 15: DOS at the Fermi energy 1.700 states/eV/atom, VASP energy -0.2356 hartree per atom. Number 16: DOS at the Fermi energy 2.090 states/eV/atom, VASP energy -0.1016 hartree per atom. Number 17: DOS at the Fermi energy 1.498 states/eV/atom, VASP energy -0.0697 hartree per atom. Number 18: DOS at the Fermi energy 0.561 states/eV/atom, VASP energy -0.1243 hartree per atom. Number 19: DOS at the Fermi energy 1.151 states/eV/atom, VASP energy -0.1240 hartree per atom. Number 20: DOS at the Fermi energy 1.175 states/eV/atom, VASP energy -0.0797 hartree per atom. Number 21: DOS at the Fermi energy 1.802 states/eV/atom, VASP energy -0.2015 hartree per atom. Number 22: DOS at the Fermi energy 1.171 states/eV/atom, VASP energy -0.1344 hartree per atom. Number 23: DOS at the Fermi energy 0.951 states/eV/atom, VASP energy -0.1066 hartree per atom. Number 24: DOS at the Fermi energy 0.763 states/eV/atom, VASP energy -0.0678 hartree per atom. Number 25: DOS at the Fermi energy 0.201 states/eV/atom, VASP energy -0.1174 hartree per atom. Number 26: DOS at the Fermi energy 0.895 states/eV/atom, VASP energy -0.0671 hartree per atom. Number 27: DOS at the Fermi energy 0.000 states/eV/atom, VASP energy -0.0788 hartree per atom.